(1)
The following is a PBE calculation of a relaxed Sr2NiWI crystal, from Alexandria.

It has space group P4/mmm (No. 123), with a = 6.188 Å, b = 6.188 Å, c = 4.630 Å, α = 90.00°, β = 90.00° and γ = 90.00°. The distinct sites, in fractional coordinates, are Sr at (0.000, 0.500, 0.000), Ni at (0.000, 0.000, 0.500), W at (0.500, 0.500, 0.500) and I at (0.000, 0.000, 0.000).

The formation energy without anion corrections is 1.10 eV/atom.

***

(2)
The following is a PBE calculation of a relaxed Na2CuSb4Au3 crystal, from Alexandria.

It has space group P-4m2 (No. 115), with a = 4.614 Å, b = 4.614 Å, c = 11.744 Å, α = 90.00°, β = 90.00° and γ = 90.00°. The distinct sites, in fractional coordinates, are Na at (0.000, 0.500, 0.231), Cu at (0.500, 0.500, 0.000), Sb at (0.000, 0.000, 0.500), Sb at (0.000, 0.500, 0.873), Sb at (0.500, 0.500, 0.500), Au at (0.000, 0.000, 0.000) and Au at (0.000, 0.500, 0.647).

The formation energy without anion corrections is -0.18 eV/atom.

***

(3)
The following is a PBE calculation of a relaxed As2SF2 crystal, from Alexandria.

It has space group I4/mmm (No. 139), with a = 4.422 Å, b = 4.422 Å, c = 8.082 Å, α = 90.00°, β = 90.00° and γ = 90.00°. The distinct sites, in fractional coordinates, are As at (0.000, 0.500, 0.250), S at (0.000, 0.000, 0.000) and F at (0.000, 0.000, 0.348).

The formation energy without anion corrections is -0.26 eV/atom. As for the energy above the most stable polymorph in this dataset: 81 meV per atom.

***

(4)
The following is a PBE calculation of a relaxed K2BeBiO4 crystal, from Alexandria.

It has space group Fddd (No. 70, origin choice 2), with a = 5.276 Å, b = 12.069 Å, c = 21.966 Å, α = 90.00°, β = 90.00° and γ = 90.00°. The distinct sites, in fractional coordinates, are K at (0.125, 0.125, 0.312), Be at (0.125, 0.125, 0.625), Bi at (0.125, 0.125, 0.125) and O at (0.067, 0.285, 0.837).

The formation energy without anion corrections is -1.31 eV/atom.

***

(5)
The following is a PBE calculation of a relaxed Zr3BiO crystal, from Alexandria.

It has space group P-1 (No. 2), with a = 3.548 Å, b = 6.219 Å, c = 9.234 Å, α = 73.12°, β = 89.95° and γ = 89.93°. The distinct sites, in fractional coordinates, are Zr at (0.249, 0.423, 0.366), Zr at (0.250, 0.703, 0.894), Zr at (0.250, 0.934, 0.371), Bi at (0.250, 0.224, 0.852) and O at (0.250, 0.825, 0.632).

The formation energy without anion corrections is -1.09 eV/atom. As for the energy above the most stable polymorph in this dataset: 0 meV per atom.

***

(6)
The following is a PBE calculation of a relaxed SrLiSn3 crystal, from Alexandria.

It has space group I4mm (No. 107), with a = 4.896 Å, b = 4.896 Å, c = 11.593 Å, α = 90.00°, β = 90.00° and γ = 90.00°. The distinct sites, in fractional coordinates, are Sr at (0.000, 0.000, 0.000), Li at (0.000, 0.000, 0.357), Sn at (0.000, 0.000, 0.586) and Sn at (0.000, 0.500, 0.244).

As for the formation energy: -0.386 eV per atom. As for the energy above the most stable polymorph in this dataset: 0 meV per atom.

***

(7)
The following is a PBE calculation of a relaxed Y2ZrGaC crystal, from Alexandria.

It has space group P4/mmm (No. 123), with a = 4.829 Å, b = 4.829 Å, c = 4.581 Å, α = 90.00°, β = 90.00° and γ = 90.00°. The distinct sites, in fractional coordinates, are Y at (0.000, 0.500, 0.000), Zr at (0.000, 0.000, 0.500), Ga at (0.500, 0.500, 0.500) and C at (0.000, 0.000, 0.000).

As for the formation energy: -0.467 eV per atom. As for the energy above the most stable polymorph in this dataset: 0 meV per atom.

***

(8)
The following is a PBE calculation of a relaxed KSn6Au12 crystal, from Alexandria.

It has space group R-3 (No. 148, hexagonal axes), with a = 11.9785 Å, b = 11.9785 Å, c = 10.6255 Å, α = 90.00°, β = 90.00° and γ = 120.00°. The distinct sites, in fractional coordinates, are K at (0.0000, 0.0000, 0.0000), Sn at (0.0489, 0.4451, 0.3922), Au at (0.0274, 0.1504, 0.3833) and Au at (0.0458, 0.4927, 0.8224).

As for the formation energy: -0.115 eV per atom. As for the energy above the most stable polymorph in this dataset: 0 meV per atom.

***

(9)
The following is a PBE calculation of a relaxed MnCd2Rh crystal, from Alexandria.

It has space group R3m (No. 160, hexagonal axes), with a = 2.9609 Å, b = 2.9609 Å, c = 28.0657 Å, α = 90.00°, β = 90.00° and γ = 120.00°. The distinct sites, in fractional coordinates, are Mn at (0.0000, 0.0000, 0.0000), Cd at (0.0000, 0.0000, 0.5168), Cd at (0.0000, 0.0000, 0.7514) and Rh at (0.0000, 0.0000, 0.2657).

As for the formation energy: 0.091 eV per atom. As for the energy above the most stable polymorph in this dataset: 114 meV per atom.

***

(10)
The following is a PBE calculation of a relaxed Ac3GaAg2Pd9 crystal, from Alexandria.

It has space group P-3m1 (No. 164), with a = 7.8035 Å, b = 7.8035 Å, c = 6.6127 Å, α = 90.00°, β = 90.00° and γ = 120.00°. The distinct sites, in fractional coordinates, are Ac at (0.0000, 0.0000, 0.0000), Ac at (0.3333, 0.6667, 0.6799), Ga at (0.0000, 0.0000, 0.5000), Ag at (0.3333, 0.6667, 0.1918), Pd at (0.0000, 0.5000, 0.0000) and Pd at (0.1565, 0.3130, 0.3325).

As for the formation energy: -0.311 eV per atom.

***

(11)
The following is a PBE calculation of a relaxed Cs2NbTlBr6 crystal, from Alexandria.

It has space group R-3m (No. 166, hexagonal axes), with a = 7.9145 Å, b = 7.9145 Å, c = 46.8044 Å, α = 90.00°, β = 90.00° and γ = 120.00°. The distinct sites, in fractional coordinates, are Cs at (0.0000, 0.0000, 0.1369), Cs at (0.0000, 0.0000, 0.3054), Nb at (0.0000, 0.0000, 0.0000), Nb at (0.0000, 0.0000, 0.5000), Tl at (0.0000, 0.0000, 0.4157), Br at (0.0142, 0.5071, 0.1335) and Br at (0.0186, 0.5093, 0.6999).

The formation energy without anion corrections is -1.21 eV/atom. As for the energy above the most stable polymorph in this dataset: 0 meV per atom.

***

(12)
The following is a PBE calculation of a relaxed Be2CoSi crystal, from Alexandria.

It has space group Pmmm (No. 47), with a = 2.790 Å, b = 2.980 Å, c = 4.637 Å, α = 90.00°, β = 90.00° and γ = 90.00°. The distinct sites, in fractional coordinates, are Be at (0.000, 0.000, 0.232), Co at (0.500, 0.500, 0.000) and Si at (0.500, 0.500, 0.500).

The formation energy without anion corrections is -0.21 eV/atom.

***

(13)
The following is a PBE calculation of a relaxed Li2CaDy crystal, from Alexandria.

It has space group R3m (No. 160, hexagonal axes), with a = 3.5326 Å, b = 3.5326 Å, c = 33.0045 Å, α = 90.00°, β = 90.00° and γ = 120.00°. The distinct sites, in fractional coordinates, are Li at (0.0000, 0.0000, 0.0000), Li at (0.0000, 0.0000, 0.1613), Ca at (0.0000, 0.0000, 0.5807) and Dy at (0.0000, 0.0000, 0.7471).

As for the formation energy: 0.181 eV per atom. As for the energy above the most stable polymorph in this dataset: 74 meV per atom.

***

(14)
The following is a PBE calculation of a relaxed Ho3Pt2Rh crystal, from Alexandria.

It has space group Cmmm (No. 65), with a = 4.898 Å, b = 14.701 Å, c = 6.873 Å, α = 90.00°, β = 90.00° and γ = 90.00°. The distinct sites, in fractional coordinates, are Ho at (0.000, 0.000, 0.248), Ho at (0.000, 0.332, 0.247), Pt at (0.000, 0.165, 0.500), Pt at (0.000, 0.500, 0.000), Pt at (0.000, 0.500, 0.500) and Rh at (0.000, 0.169, 0.000).

As for the formation energy: -1.138 eV per atom.

***

(15)
The following is a PBE calculation of a relaxed Pr3Nd8Er4 crystal, from Alexandria.

It has space group C2/m (No. 12), with a = 13.873 Å, b = 12.350 Å, c = 6.916 Å, α = 90.00°, β = 117.96° and γ = 90.00°. The distinct sites, in fractional coordinates, are Pr at (0.000, 0.000, 0.000), Pr at (0.250, 0.250, 0.500), Nd at (0.000, 0.207, 0.500), Nd at (0.000, 0.254, 0.000), Nd at (0.203, 0.000, 0.670), Nd at (0.243, 0.500, 0.802), Er at (0.000, 0.500, 0.000), Er at (0.000, 0.500, 0.500) and Er at (0.250, 0.250, 0.000).

As for the formation energy: 0.328 eV per atom.

***

(16)
The following is a PBE calculation of a relaxed Zn2FeTc crystal, from Alexandria.

It has space group Imm2 (No. 44), with a = 3.825 Å, b = 3.847 Å, c = 7.327 Å, α = 90.00°, β = 90.00° and γ = 90.00°. The distinct sites, in fractional coordinates, are Zn at (0.000, 0.000, 0.000), Zn at (0.000, 0.500, 0.250), Fe at (0.000, 0.500, 0.750) and Tc at (0.000, 0.000, 0.500).

As for the formation energy: 0.137 eV per atom. As for the energy above the most stable polymorph in this dataset: 130 meV per atom.

***

(17)
The following is a PBE calculation of a relaxed LiCd12In3 crystal, from Alexandria.

It has space group P4/mmm (No. 123), with a = 4.511 Å, b = 4.511 Å, c = 18.021 Å, α = 90.00°, β = 90.00° and γ = 90.00°. The distinct sites, in fractional coordinates, are Li at (0.000, 0.000, 0.000), Cd at (0.000, 0.500, 0.114), Cd at (0.000, 0.500, 0.371), Cd at (0.500, 0.500, 0.000), Cd at (0.500, 0.500, 0.244), Cd at (0.500, 0.500, 0.500), In at (0.000, 0.000, 0.242) and In at (0.000, 0.000, 0.500).

As for the formation energy: -0.015 eV per atom.

***

(18)
The following is a PBE calculation of a relaxed DyErBiSb crystal, from Alexandria.

It has space group P4/mmm (No. 123), with a = 4.413 Å, b = 4.413 Å, c = 6.239 Å, α = 90.00°, β = 90.00° and γ = 90.00°. The distinct sites, in fractional coordinates, are Dy at (0.000, 0.000, 0.000), Er at (0.500, 0.500, 0.500), Bi at (0.500, 0.500, 0.000) and Sb at (0.000, 0.000, 0.500).

The formation energy without anion corrections is -0.97 eV/atom.

***

(19)
The following is a PBE calculation of a relaxed NdGdTh crystal, from Alexandria.

It has space group P3m1 (No. 156), with a = 3.6067 Å, b = 3.6067 Å, c = 8.8509 Å, α = 90.00°, β = 90.00° and γ = 120.00°. The distinct sites, in fractional coordinates, are Nd at (0.0000, 0.0000, 0.0000), Gd at (0.6667, 0.3333, 0.3559) and Th at (0.3333, 0.6667, 0.6730).

As for the formation energy: 0.026 eV per atom.

***

(20)
The following is a PBE calculation of a relaxed Sm2Ga5Co2Rh crystal, from Alexandria.

It has space group P4/mbm (No. 127), with a = 9.399 Å, b = 9.399 Å, c = 3.877 Å, α = 90.00°, β = 90.00° and γ = 90.00°. The distinct sites, in fractional coordinates, are Sm at (0.184, 0.316, 0.000), Ga at (0.000, 0.500, 0.500), Ga at (0.055, 0.798, 0.500), Co at (0.112, 0.612, 0.000) and Rh at (0.000, 0.000, 0.000).

As for the formation energy: -0.405 eV per atom.

***

Respective VASP energy values: -3.627, -3.489, -3.693, -5.014, -7.983, -3.506, -7.212, -3.506, -4.496, -4.831, -3.629, -5.201, -2.427, -6.665, -4.388, -5.207, -1.335, -5.262, -8.730, -5.019 eV/atom.